1.
## CsLiPm2Se4 (GGA-PBE)

Data for crystalline CsLiPm2Se4 at its relaxed geometry.

The value obtained for the total energy is -4.986 eV/atom. Its formation energy without anion corrections is -13.68 eV/f.u.

a b c (Å): 4.341 14.734 15.000
angles (deg): 90.00 90.00 90.00
Space group Cmcm (No. 63)
Inequivalent atoms, fractional coordinates:
Cs 0.000 0.106 0.250 [4 per cell]
Li 0.000 0.171 0.750 [4 per cell]
Pm 0.000 0.366 0.060 [8 per cell]
Se 0.000 0.000 0.000 [4 per cell]
Se 0.000 0.259 0.605 [8 per cell]
Se 0.000 0.416 0.250 [4 per cell]

2.
## ErScCdIr (GGA-PBE)

Data for crystalline ErScCdIr at its relaxed geometry.

The value obtained for the total energy is -5.740 eV/atom.

a b c (Å): 6.900 6.900 6.900
angles (deg): 90.00 90.00 90.00
Space group F-43m (No. 216)
Inequivalent atoms, fractional coordinates:
Er 0.000 0.000 0.000 [4 per cell]
Sc 0.000 0.000 0.500 [4 per cell]
Cd 0.250 0.250 0.750 [4 per cell]
Ir 0.250 0.250 0.250 [4 per cell]

3.
## Mg5TlGa (GGA-PBE)

Data for crystalline Mg5TlGa at its relaxed geometry.

The value obtained for the energy relative to the lowest polymorph listed for this composition is 0.20 eV per formula unit. The value obtained for the total energy is -1.921 eV/atom.

a b c (Å): 7.955 8.394 10.128
angles (deg): 90.00 108.90 90.00
Space group C2/c (No. 15)
Inequivalent atoms, fractional coordinates:
Mg 0.000 0.162 0.250 [4 per cell]
Mg 0.112 0.355 0.533 [8 per cell]
Mg 0.203 0.191 0.835 [8 per cell]
Tl 0.000 0.000 0.000 [4 per cell]
Ga 0.000 0.497 0.750 [4 per cell]

4.
## Ac3La2Te8 (GGA-PBE)

Data for crystalline Ac3La2Te8 at its relaxed geometry.

The value obtained for the total energy is -5.029 eV/atom. Its formation energy without anion corrections is -18.07 eV/f.u.

a b c (Å): 11.350 15.972 5.527
angles (deg): 90.00 90.00 90.00
Space group Cmmm (No. 65)
Inequivalent atoms, fractional coordinates:
Ac 0.000 0.000 0.000 [2 per cell]
Ac 0.219 0.500 0.500 [4 per cell]
La 0.000 0.263 0.000 [4 per cell]
Te 0.000 0.121 0.500 [4 per cell]
Te 0.000 0.366 0.500 [4 per cell]
Te 0.238 0.128 0.000 [8 per cell]

5.
## Mg5GaIr3 (GGA-PBE)

Data for crystalline Mg5GaIr3 at its relaxed geometry.

The value obtained for the total energy is -4.424 eV/atom.

a b c (Å): 9.152 9.564 8.945
angles (deg): 90.00 109.38 90.00
Space group C2/m (No. 12)
Inequivalent atoms, fractional coordinates:
Mg 0.000 0.230 0.000 [4 per cell]
Mg 0.002 0.236 0.665 [8 per cell]
Mg 0.231 0.500 0.577 [4 per cell]
Mg 0.245 0.000 0.078 [4 per cell]
Ga 0.245 0.000 0.753 [4 per cell]
Ir 0.000 0.000 0.500 [2 per cell]
Ir 0.000 0.500 0.000 [2 per cell]
Ir 0.002 0.000 0.823 [4 per cell]
Ir 0.008 0.500 0.302 [4 per cell]

6.
## Cr2CuBr (GGA-PBE)

Data for crystalline Cr2CuBr at its relaxed geometry.

The value obtained for the energy relative to the lowest polymorph listed for this composition is 0.15 eV per formula unit. The value obtained for the total energy is -5.865 eV/atom. Its formation energy without anion corrections is 1.56 eV/f.u.

a b c (Å): 3.260 3.260 6.287
angles (deg): 90.00 90.00 90.00
Space group P4mm (No. 99)
Inequivalent atoms, fractional coordinates:
Cr 0.000 0.000 0.000 [1 per cell]
Cr 0.500 0.500 0.195 [1 per cell]
Cu 0.000 0.000 0.405 [1 per cell]
Br 0.500 0.500 0.715 [1 per cell]

7.
## Li2CeYAu4 (GGA-PBE)

Data for crystalline Li2CeYAu4 at its relaxed geometry.

The value obtained for the total energy is -4.310 eV/atom.

a b c (Å): 5.0057 5.0057 23.3658
angles (deg): 90.00 90.00 120.00
Space group R-3m (No. 166, hexagonal axes)
Inequivalent atoms, fractional coordinates:
Li 0.0000 0.0000 0.2493 [6 per cell]
Ce 0.0000 0.0000 0.0000 [3 per cell]
Y 0.0000 0.0000 0.5000 [3 per cell]
Au 0.0000 0.0000 0.1313 [6 per cell]
Au 0.0000 0.0000 0.3715 [6 per cell]

8.
## RbUAg2F8 (GGA-PBE)

Data for crystalline RbUAg2F8 at its relaxed geometry.

The value obtained for the total energy is -5.141 eV/atom. Its formation energy without anion corrections is -28.77 eV/f.u.

a b c (Å): 5.5996 5.5996 9.0326
angles (deg): 90.00 90.00 120.00
Space group P-3m1 (No. 164)
Inequivalent atoms, fractional coordinates:
Rb 0.0000 0.0000 0.0000 [1 per cell]
U 0.0000 0.0000 0.5000 [1 per cell]
Ag 0.3333 0.6667 0.2393 [2 per cell]
F 0.1689 0.3379 0.6421 [6 per cell]
F 0.3333 0.6667 0.0074 [2 per cell]

9.
## Hf2UCd (GGA-PBE)

Data for crystalline Hf2UCd at its relaxed geometry.

The value obtained for the energy relative to the lowest polymorph listed for this composition is 0.34 eV per formula unit. The value obtained for the total energy is -7.823 eV/atom.

a b c (Å): 5.252 5.252 3.119
angles (deg): 90.00 90.00 90.00
Space group P4/mmm (No. 123)
Inequivalent atoms, fractional coordinates:
Hf 0.000 0.500 0.000 [2 per cell]
U 0.000 0.000 0.500 [1 per cell]
Cd 0.500 0.500 0.500 [1 per cell]

10.
## Pr7TlSe5 (GGA-PBE)

Data for crystalline Pr7TlSe5 at its relaxed geometry.

The value obtained for the total energy is -5.581 eV/atom. Its formation energy without anion corrections is -19.30 eV/f.u.

a b c (Å): 14.107 4.248 25.534
angles (deg): 90.00 90.04 90.00
Space group C2/m (No. 12)
Inequivalent atoms, fractional coordinates:
Pr 0.022 0.000 0.250 [4 per cell]
Pr 0.090 0.500 0.390 [4 per cell]
Pr 0.091 0.500 0.111 [4 per cell]
Pr 0.137 0.000 0.536 [4 per cell]
Pr 0.137 0.000 0.964 [4 per cell]
Pr 0.183 0.500 0.676 [4 per cell]
Pr 0.183 0.500 0.824 [4 per cell]
Tl 0.194 0.500 0.250 [4 per cell]
Se 0.000 0.500 0.000 [2 per cell]
Se 0.000 0.500 0.500 [2 per cell]
Se 0.048 0.000 0.859 [4 per cell]
Se 0.049 0.000 0.641 [4 per cell]
Se 0.225 0.000 0.071 [4 per cell]
Se 0.225 0.000 0.429 [4 per cell]